## AlAgBr2 (PBE)

Data for crystalline AlAgBr2 at its relaxed geometry.

The structure in CIF format:
```
data_AlAgBr2
_cell_length_a 7.4139
_cell_length_b 7.4139
_cell_length_c 5.9656
_cell_angle_alpha 60.37
_cell_angle_beta 60.37
_cell_angle_gamma 26.06
_symmetry_space_group_name_H-M 'P 1'
_symmetry_Int_Tables_number 1
loop_
_symmetry_equiv_pos_as_xyz
'x,y,z'
loop_
_atom_site_label
_atom_site_type_symbol
_atom_site_fract_x
_atom_site_fract_y
_atom_site_fract_z
_atom_site_occupancy
Br1 Br 0.9021 0.9021 0.8253 1
Br2 Br 0.6333 0.6333 0.0387 1
Ag1 Ag 0.7083 0.7083 0.5132 1
Al1 Al 0.2564 0.2564 0.1228 1
```

## Properties
Density in g/cm3: 3.942
Crystal system: monoclinic
Size of the total moment in Bohr magnetons per cell: 0.00
Raw formation energy in eV/atom: -0.430